Density functional theory data (PBE+U) for a geometry-optimized NiPdI2O structure.

Results
The value obtained for the total energy is -14.33 eV for the cell shown. For the density of states at the Fermi level, the calculation gives 3.4 states/eV/f.u. The calculation puts the volume at 121 Å³ per cell. For the calculated density, the calculation gives 5.949 g cm⁻³.

CIF file:
```
data_NiPdI2O
_symmetry_space_group_name_H-M 'P 4/m m m'
_symmetry_Int_Tables_number 123
_symmetry_space_group_name_Hall '-P 4 2'
_cell_length_a 5.5935
_cell_length_b 5.5935
_cell_length_c 3.8803
_cell_angle_alpha 90.00
_cell_angle_beta 90.00
_cell_angle_gamma 90.00
loop_
_atom_site_label
_atom_site_type_symbol
_atom_site_fract_x
_atom_site_fract_y
_atom_site_fract_z
_atom_site_occupancy
Ni1 Ni 0.0000 0.0000 0.0000 1
Pd1 Pd 0.5000 0.5000 0.5000 1
I1 I 0.0000 0.5000 0.5000 1
O1 O 0.5000 0.5000 0.0000 1
```